This record from Alexandria describes BaOsAu2Br after structural relaxation. The functional is GGA-PBE.

Calculated values
formation energy without anion corrections	0.211	eV per atom
DFT total energy	-4.065	eV per atom

abc: 4.977 4.977 6.531
angles: 90.00 90.00 90.00
Element x y z (fractional)
1 Ba 0.000 0.000 0.000
2 Os 0.000 0.000 0.500
3 Au 0.000 0.500 0.500
4 Au 0.500 0.000 0.500
5 Br 0.500 0.500 0.000